The following is a PBE-GGA calculation of a geometry-optimized Rb3Ca5Br12 structure, from Alexandria via LeMat-Bulk.

Properties
- M_tot (μB per cell) = 0.00
- formation energy from raw total energies (eV per formula unit) = -36.55
- total DFT energy (no corrections) (eV/f.u.) = -69.5

a b c (Å): 16.196 16.196 16.196
angles (deg): 109.47 109.47 109.47
Positions (direct):
Rb  0.750  0.375  0.125
Rb  0.875  0.750  0.125
Rb  0.375  0.750  0.625
Rb  0.250  0.125  0.375
Rb  0.875  0.125  0.250
Rb  0.375  0.625  0.250
Rb  0.625  0.375  0.750
Rb  0.125  0.875  0.750
Rb  0.750  0.875  0.625
Rb  0.625  0.250  0.375
Rb  0.125  0.250  0.875
Rb  0.250  0.625  0.875
Ca  0.125  0.375  0.250
Ca  0.000  0.500  0.000
Ca  0.000  0.000  0.000
Ca  0.375  0.250  0.125
Ca  0.500  0.000  0.500
Ca  0.500  0.500  0.000
Ca  0.125  0.750  0.375
Ca  0.750  0.125  0.875
Ca  0.750  0.625  0.375
Ca  0.375  0.125  0.750
Ca  0.625  0.875  0.250
Ca  0.500  0.500  0.500
Ca  0.500  0.000  0.000
Ca  0.000  0.000  0.500
Ca  0.250  0.375  0.625
Ca  0.250  0.875  0.125
Ca  0.000  0.500  0.500
Ca  0.875  0.250  0.625
Ca  0.625  0.750  0.875
Ca  0.875  0.625  0.750
Br  0.699  0.116  0.023
Br  0.324  0.523  0.406
Br  0.977  0.384  0.301
Br  0.523  0.199  0.116
Br  0.582  0.699  0.676
Br  0.977  0.594  0.176
Br  0.324  0.801  0.418
Br  0.094  0.918  0.116
Br  0.594  0.977  0.676
Br  0.699  0.582  0.176
Br  0.801  0.477  0.384
Br  0.824  0.906  0.023
Br  0.116  0.699  0.523
Br  0.384  0.406  0.082
Br  0.082  0.906  0.384
Br  0.418  0.116  0.594
Br  0.082  0.176  0.199
Br  0.477  0.676  0.094
Br  0.824  0.918  0.301
Br  0.116  0.418  0.094
Br  0.384  0.977  0.801
Br  0.594  0.616  0.418
Br  0.906  0.824  0.523
Br  0.801  0.324  0.918
Br  0.406  0.384  0.582
Br  0.094  0.176  0.477
Br  0.199  0.676  0.082
Br  0.176  0.082  0.699
Br  0.616  0.023  0.199
Br  0.884  0.582  0.906
Br  0.523  0.324  0.906
Br  0.582  0.884  0.406
Br  0.918  0.824  0.801
Br  0.918  0.094  0.616
Br  0.884  0.301  0.477
Br  0.176  0.094  0.977
Br  0.616  0.594  0.918
Br  0.406  0.023  0.324
Br  0.301  0.418  0.824
Br  0.199  0.523  0.616
Br  0.906  0.082  0.884
Br  0.676  0.199  0.582
Br  0.477  0.801  0.884
Br  0.023  0.406  0.824
Br  0.418  0.301  0.324
Br  0.023  0.616  0.699
Br  0.676  0.477  0.594
Br  0.301  0.884  0.977